DFT (GGA+U) results for a relaxed CrGePdO crystal.

**DOS(E_F)**: 0.311 states/eV/atom
**Energy relative to the lowest polymorph listed for this composition**: 201 meV/atom
**Magnetic moment**: 7.32 μB per cell

Cell: 6.7495 3.0042 6.4855 Å, 90.00 94.44 90.00°
With the nearest neighbours (Å) after each atom.
Element x y z (fractional)
Cr 0.4022 0.0000 0.9667  3 O 1.96-1.98
O 0.3980 0.0000 0.2678  3 Cr 1.96-1.98
Pd 0.7683 0.0000 0.6428  3 Ge 2.47-2.48
Ge 0.9915 0.0000 0.9631  3 Pd 2.47-2.48
Cr 0.4022 0.5000 0.4667  3 O 1.96-1.98
Pd 0.7683 0.5000 0.1428  3 Ge 2.47-2.48
O 0.3980 0.5000 0.7678  3 Cr 1.96-1.98
Ge 0.9915 0.5000 0.4631  3 Pd 2.47-2.48